Entry 1:
DFT (PBE) results for a relaxed MoWCl2 crystal. Values from VASP.

Cell and atoms, written as Quantum ESPRESSO input:
```
&SYSTEM
  ibrav = 0, nat = 4, ntyp = 3
/
ATOMIC_SPECIES
Mo 95.94 Mo.upf
W 183.84 W.upf
Cl 35.45 Cl.upf
ATOMIC_POSITIONS crystal
Mo 0.000 0.000 0.000
W 0.500 0.500 0.000
Cl 0.000 0.500 0.500
Cl 0.500 0.000 0.500
CELL_PARAMETERS angstrom
4.082 0.000 0.000
0.000 4.082 0.000
0.000 0.000 3.987
```

Calculated total energy ... -22.39 eV per cell
Energy above the most stable polymorph in this dataset ... 1.524 eV/atom
Symmetry ... P4/mmm

---

Entry 2:
DFT (PBE) results for a relaxed MoWCl3 crystal. Values from VASP.

Cell and atoms, written as Quantum ESPRESSO input:
```
&SYSTEM
  ibrav = 0, nat = 5, ntyp = 3
/
ATOMIC_SPECIES
Mo 95.94 Mo.upf
W 183.84 W.upf
Cl 35.45 Cl.upf
ATOMIC_POSITIONS crystal
Mo 0.000 0.000 0.000
W 0.500 0.500 0.500
Cl 0.000 0.500 0.500
Cl 0.500 0.000 0.500
Cl 0.500 0.500 0.000
CELL_PARAMETERS angstrom
4.915 0.000 0.000
0.000 4.915 0.000
0.000 0.000 4.915
```

Calculated total energy ... -24.86 eV per cell
Energy above the most stable polymorph in this dataset ... 0.000 eV/atom
Symmetry ... Pm-3m

---

Entry 3:
DFT (PBE) results for a relaxed MoWCl2 crystal. Values from VASP.

Cell and atoms, written as Quantum ESPRESSO input:
```
&SYSTEM
  ibrav = 0, nat = 4, ntyp = 3
/
ATOMIC_SPECIES
Mo 95.94 Mo.upf
W 183.84 W.upf
Cl 35.45 Cl.upf
ATOMIC_POSITIONS crystal
Mo 0.000 0.000 0.000
W 0.000 0.000 0.500
Cl 0.500 0.500 0.251
Cl 0.500 0.500 0.749
CELL_PARAMETERS angstrom
2.890 0.000 0.000
0.000 3.731 0.000
0.000 0.000 5.780
```

Calculated total energy ... -22.34 eV per cell
Energy above the most stable polymorph in this dataset ... 1.538 eV/atom
Symmetry ... Pmmm

---

Entry 4:
DFT (PBE) results for a relaxed MoW2Cl crystal. Values from VASP.

Cell and atoms, written as Quantum ESPRESSO input:
```
&SYSTEM
  ibrav = 0, nat = 8, ntyp = 3
/
ATOMIC_SPECIES
Mo 95.94 Mo.upf
W 183.84 W.upf
Cl 35.45 Cl.upf
ATOMIC_POSITIONS crystal
Mo 0.000 0.000 0.000
Mo 0.500 0.500 0.000
W 0.250 0.250 0.500
W 0.250 0.750 0.500
W 0.750 0.250 0.500
W 0.750 0.750 0.500
Cl 0.000 0.500 0.000
Cl 0.500 0.000 0.000
CELL_PARAMETERS angstrom
5.267 0.000 0.000
0.000 9.022 0.000
0.000 0.000 2.765
```

Calculated total energy ... -68.62 eV per cell
Energy above the most stable polymorph in this dataset ... 0.708 eV/atom
Symmetry ... Cmmm

---

Entry 5:
DFT (PBE) results for a relaxed MoW2Cl crystal. Values from VASP.

Cell and atoms, written as Quantum ESPRESSO input:
```
&SYSTEM
  ibrav = 0, nat = 16, ntyp = 3
/
ATOMIC_SPECIES
Mo 95.94 Mo.upf
W 183.84 W.upf
Cl 35.45 Cl.upf
ATOMIC_POSITIONS crystal
Mo 0.000 0.000 0.000
Mo 0.000 0.500 0.250
Mo 0.500 0.000 0.750
Mo 0.500 0.500 0.500
W 0.200 0.250 0.625
W 0.250 0.700 0.875
W 0.250 0.800 0.375
W 0.300 0.250 0.125
W 0.700 0.750 0.125
W 0.750 0.200 0.375
W 0.750 0.300 0.875
W 0.800 0.750 0.625
Cl 0.000 0.000 0.500
Cl 0.000 0.500 0.750
Cl 0.500 0.000 0.250
Cl 0.500 0.500 0.000
CELL_PARAMETERS angstrom
6.989 0.000 0.000
0.000 6.989 0.000
0.000 0.000 5.375
```

Calculated total energy ... -134.12 eV per cell
Energy above the most stable polymorph in this dataset ... 0.904 eV/atom
Symmetry ... I-42d

---

Entry 6:
DFT (PBE) results for a relaxed Mo2WCl crystal. Values from VASP.

Cell and atoms, written as Quantum ESPRESSO input:
```
&SYSTEM
  ibrav = 0, nat = 8, ntyp = 3
/
ATOMIC_SPECIES
Mo 95.94 Mo.upf
W 183.84 W.upf
Cl 35.45 Cl.upf
ATOMIC_POSITIONS crystal
Mo 0.000 0.000 0.000
Mo 0.000 0.500 0.245
Mo 0.500 0.000 0.245
Mo 0.500 0.500 0.000
W 0.000 0.000 0.487
W 0.500 0.500 0.487
Cl 0.000 0.500 0.751
Cl 0.500 0.000 0.751
CELL_PARAMETERS angstrom
3.161 0.000 0.000
0.000 4.705 0.000
0.000 0.000 8.796
```

Calculated total energy ... -69.52 eV per cell
Energy above the most stable polymorph in this dataset ... 0.176 eV/atom
Symmetry ... Cmm2

---

Entry 7:
DFT (PBE) results for a relaxed Mo2WCl crystal. Values from VASP.

Cell and atoms, written as Quantum ESPRESSO input:
```
&SYSTEM
  ibrav = 0, nat = 4, ntyp = 3
/
ATOMIC_SPECIES
Mo 95.94 Mo.upf
W 183.84 W.upf
Cl 35.45 Cl.upf
ATOMIC_POSITIONS crystal
Mo 0.000 0.000 0.000
Mo 0.500 0.500 0.228
W 0.000 0.000 0.461
Cl 0.500 0.500 0.733
CELL_PARAMETERS angstrom
3.020 0.000 0.000
0.000 3.020 0.000
0.000 0.000 7.154
```

Calculated total energy ... -34.50 eV per cell
Energy above the most stable polymorph in this dataset ... 0.242 eV/atom
Symmetry ... P4mm

---

Entry 8:
DFT (PBE) results for a relaxed MoW2Cl crystal. Values from VASP.

Cell and atoms, written as Quantum ESPRESSO input:
```
&SYSTEM
  ibrav = 0, nat = 8, ntyp = 3
/
ATOMIC_SPECIES
Mo 95.94 Mo.upf
W 183.84 W.upf
Cl 35.45 Cl.upf
ATOMIC_POSITIONS crystal
Mo 0.000 0.000 0.000
Mo 0.500 0.500 0.500
W 0.000 0.000 0.500
W 0.000 0.500 0.750
W 0.500 0.000 0.250
W 0.500 0.500 0.000
Cl 0.000 0.500 0.250
Cl 0.500 0.000 0.750
CELL_PARAMETERS angstrom
3.784 0.000 0.000
0.000 3.784 0.000
0.000 0.000 8.979
```

Calculated total energy ... -67.27 eV per cell
Energy above the most stable polymorph in this dataset ... 0.877 eV/atom
Symmetry ... I-4m2

---

Entry 9:
DFT (PBE) results for a relaxed MoWCl2 crystal. Values from VASP.

Cell and atoms, written as Quantum ESPRESSO input:
```
&SYSTEM
  ibrav = 0, nat = 4, ntyp = 3
/
ATOMIC_SPECIES
Mo 95.94 Mo.upf
W 183.84 W.upf
Cl 35.45 Cl.upf
ATOMIC_POSITIONS crystal
Mo 0.000 0.000 0.000
W 0.500 0.500 0.000
Cl 0.000 0.500 0.500
Cl 0.500 0.000 0.500
CELL_PARAMETERS angstrom
4.381 0.000 0.000
0.000 4.381 0.000
0.000 0.000 3.074
```

Calculated total energy ... -22.45 eV per cell
Energy above the most stable polymorph in this dataset ... 1.510 eV/atom
Symmetry ... P4/mmm

---

Entry 10:
DFT (PBE) results for a relaxed Mo2WCl crystal. Values from VASP.

Cell and atoms, written as Quantum ESPRESSO input:
```
&SYSTEM
  ibrav = 0, nat = 8, ntyp = 3
/
ATOMIC_SPECIES
Mo 95.94 Mo.upf
W 183.84 W.upf
Cl 35.45 Cl.upf
ATOMIC_POSITIONS crystal
Mo 0.000 0.000 0.000
Mo 0.209 0.500 0.763
Mo 0.500 0.500 0.000
Mo 0.709 0.000 0.763
W 0.272 0.000 0.213
W 0.772 0.500 0.213
Cl 0.470 0.000 0.580
Cl 0.970 0.500 0.580
CELL_PARAMETERS angstrom
9.917 0.000 0.000
0.000 3.013 0.000
-0.223 0.000 4.456
```

Calculated total energy ... -67.49 eV per cell
Energy above the most stable polymorph in this dataset ... 0.430 eV/atom
Symmetry ... Cm

---

Entry 11:
DFT (PBE) results for a relaxed MoWCl2 crystal. Values from VASP.

Cell and atoms, written as Quantum ESPRESSO input:
```
&SYSTEM
  ibrav = 0, nat = 8, ntyp = 3
/
ATOMIC_SPECIES
Mo 95.94 Mo.upf
W 183.84 W.upf
Cl 35.45 Cl.upf
ATOMIC_POSITIONS crystal
Mo 0.000 0.000 0.000
Mo 0.500 0.500 0.500
W 0.000 0.500 0.104
W 0.500 0.000 0.604
Cl 0.000 0.000 0.410
Cl 0.000 0.500 0.696
Cl 0.500 0.000 0.196
Cl 0.500 0.500 0.910
CELL_PARAMETERS angstrom
3.016 0.000 0.000
0.000 3.127 0.000
0.000 0.000 18.241
```

Calculated total energy ... -53.64 eV per cell
Energy above the most stable polymorph in this dataset ... 0.417 eV/atom
Symmetry ... Imm2

---

Entry 12:
DFT (PBE) results for a relaxed Mo2WCl6 crystal. Values from VASP.

Cell and atoms, written as Quantum ESPRESSO input:
```
&SYSTEM
  ibrav = 0, nat = 9, ntyp = 3
/
ATOMIC_SPECIES
Mo 95.94 Mo.upf
W 183.84 W.upf
Cl 35.45 Cl.upf
ATOMIC_POSITIONS crystal
Mo 0.239 0.239 0.171
Mo 0.761 0.761 0.829
W 0.000 0.000 0.000
Cl 0.096 0.096 0.249
Cl 0.153 0.153 0.649
Cl 0.362 0.362 0.034
Cl 0.638 0.638 0.966
Cl 0.847 0.847 0.351
Cl 0.904 0.904 0.751
CELL_PARAMETERS angstrom
6.764 -1.516 0.000
6.764 1.516 0.000
-4.424 0.000 9.725
```

Calculated total energy ... -47.36 eV per cell
Symmetry ... C2/m

---

no.,DOS(E_F) (states/eV/atom)
1,0.5578
2,0.4305
3,1.1199
4,1.0726
5,1.1985
6,0.8744
7,0.9355
8,1.2220
9,1.1410
10,0.5587
11,0.6364
12,0.7107